No. 1
Ti2BeTe: optimized geometry, GGA-PBE.

## Properties
The calculation puts the formation energy (no corrections) at 0.60 eV/atom.

```
8
Lattice="5.6067 0.0000 0.0000 0.0000 5.6067 0.0000 2.8033 2.8033 5.9524" Properties=species:S:1:pos:R:3 pbc="T T T"
Ti 3.7709 1.4017 1.4881
Ti 1.8357 4.2050 1.4881
Te 5.6067 2.8033 2.9762
Be 2.8033 2.8033 0.0000
Ti 7.0083 6.5743 4.4643
Te 0.0000 0.0000 0.0000
Ti 4.2050 4.6391 4.4643
Be 2.8033 5.6067 2.9762
```

---

No. 2
AcPrOs: optimized geometry, GGA-PBE.

## Properties
The calculation puts the formation energy at 0.089 eV per atom.

```
3
Lattice="3.6165 0.0000 0.0000 0.0000 3.6165 0.0000 -1.8082 -1.8082 7.1971" Properties=species:S:1:pos:R:3 pbc="T T T"
Ac 0.0000 0.0000 0.6204
Pr 0.0000 0.0000 4.1185
Os 1.8082 1.8082 2.4582
```

---

Number 1: N(E_F) 1.49 states/eV per atom. Number 2: N(E_F) 0.70 states/eV per atom.